Compound: MgVBr2
Source: the Alexandria database
Functional: PBE
Structure: relaxed

Unit cell a=7.053 b=7.053 c=7.053 alpha=90.00 beta=90.00 gamma=90.00
Space group Fm-3m (No. 225)
Symmetry-distinct sites (fractional):
Mg: 0.000 0.000 0.000
V: 0.000 0.000 0.500
Br: 0.250 0.250 0.250

- Crystal system: cubic
- Excess energy over the best structure of this formula in the dataset: 0.417 eV per atom
- Raw total energy: -55.7 eV per cell
- Energy relative to the elements, uncorrected: 0.035 eV/atom



Compound: YP2PdO8
Source: the Alexandria database
Functional: PBE
Structure: relaxed

Unit cell a=5.1832 b=5.1832 c=6.7415 alpha=90.00 beta=90.00 gamma=120.00
Space group P-3m1 (No. 164)
Symmetry-distinct sites (fractional):
Y: 0.0000 0.0000 0.0000
P: 0.3333 0.6667 0.2142
Pd: 0.0000 0.0000 0.5000
O: 0.1672 0.3343 0.2785
O: 0.3333 0.6667 0.9871

- Crystal system: trigonal
- Raw total energy: -86.4 eV per cell
- Energy relative to the elements, uncorrected: -2.019 eV/atom



Compound: TcBi3Os
Source: the Alexandria database
Functional: PBE
Structure: relaxed

Unit cell a=5.282 b=5.282 c=5.282 alpha=90.00 beta=90.00 gamma=90.00
Space group Pm-3m (No. 221)
Symmetry-distinct sites (fractional):
Tc: 0.000 0.000 0.000
Bi: 0.000 0.500 0.500
Os: 0.500 0.500 0.500

- Crystal system: cubic
- Energy of formation: 1437 meV per atom
- Excess energy over the best structure of this formula in the dataset: 0.000 eV per atom
- Raw total energy: -26.1 eV per cell



Look up the raw total energy of the third one. -26.1 eV per cell